No. 1
SiHPt2: relaxed, PBE.

Geometry as POSCAR:
```
SiHPt2
1.0
-2.9746 0.6112 2.3678
0.4818 -0.2842 3.8099
0.3944 5.2014 2.2841
Pt Si H
2 1 1
Cartesian
-2.0930 1.9885 6.2510 Pt
-0.0054 3.5400 2.2108 Pt
-1.0492 2.7642 4.2309 Si
0.0000 0.0000 0.0000 H
```

Results
Spin magnetization, μB per formula unit: 0.0
Excess energy over the best structure of this formula in the dataset, meV per atom: 15



No. 2
Si2HPt: relaxed, PBE.

Geometry as POSCAR:
```
Si2HPt
1.0
3.8447 0.0000 0.0000
1.9223 3.3296 0.0000
1.9223 1.1099 5.3064
Si Pt H
2 1 1
Cartesian
5.7670 3.3296 1.6716 Si
1.9223 1.1099 3.6348 Si
3.8447 2.2197 2.6532 Pt
0.0000 0.0000 0.0000 H
```

Results
Spin magnetization, μB per formula unit: 0.0
Excess energy over the best structure of this formula in the dataset, meV per atom: 0



No. 3
Si3HPt: relaxed, PBE.

Geometry as POSCAR:
```
Si3HPt
1.0
-1.3384 -0.3390 -4.5041
-1.6591 -4.3324 0.8191
-4.2011 1.8189 1.1115
Si H Pt
3 1 1
Cartesian
-0.8295 -2.1662 0.4095 Si
-0.6692 -0.1695 -2.2521 Si
-2.1006 0.9095 0.5557 Si
-3.5993 -1.4263 -1.2868 H
0.0000 0.0000 0.0000 Pt
```

Results
Spin magnetization, μB per formula unit: 0.0
Excess energy over the best structure of this formula in the dataset, meV per atom: 617



No. 4
Si2HPt2: relaxed, PBE.

Geometry as POSCAR:
```
Si2HPt2
1.0
-2.7918 -2.6428 -0.3924
1.9377 -2.3935 2.3343
-3.0323 -0.4084 5.2969
Si Pt H
2 2 1
Cartesian
-0.7608 -2.6600 4.3011 Si
-3.1256 -2.7847 2.9377 Si
-2.8208 -3.4437 5.2076 Pt
-1.0656 -2.0011 2.0312 Pt
0.0000 0.0000 0.0000 H
```

Results
Spin magnetization, μB per formula unit: 0.4
Excess energy over the best structure of this formula in the dataset, meV per atom: 89



No. 5
SiH2Pt: relaxed, PBE.

Geometry as POSCAR:
```
SiH2Pt
1.0
0.0000 2.6626 2.6626
2.6626 0.0000 2.6626
2.6626 2.6626 0.0000
Si H Pt
1 2 1
Cartesian
0.0000 0.0000 0.0000 Si
1.3313 1.3313 1.3313 H
3.9939 3.9939 3.9939 H
2.6626 2.6626 2.6626 Pt
```

Results
Spin magnetization, μB per formula unit: 0.0
Excess energy over the best structure of this formula in the dataset, meV per atom: 309



No. 6
SrSiHPt2: relaxed, PBE.

Geometry as POSCAR:
```
SrSiHPt2
1.0
3.8637 0.0000 0.0000
-1.9319 5.6810 0.0000
0.0000 0.0000 7.3111
Pt H Sr Si
4 2 2 2
Cartesian
1.9319 3.8132 0.4131 Pt
0.0000 1.8679 4.0687 Pt
1.9319 3.8132 3.2425 Pt
0.0000 1.8679 6.8980 Pt
0.0000 0.0000 0.0000 H
0.0000 0.0000 3.6556 H
0.0000 5.1600 5.4833 Sr
1.9319 0.5211 1.8278 Sr
0.0000 3.0704 1.8278 Si
1.9319 2.6107 5.4833 Si
```

Results
Spin magnetization, μB per formula unit: 0.0
Electronic total energy, eV/atom: -5.3111



No. 7
Sr2SiHPt: relaxed, PBE.

Geometry as POSCAR:
```
Sr2SiHPt
1.0
-3.6975 3.3875 -3.0375
-1.6815 -2.8753 -1.1597
-3.5901 0.2323 4.6293
Pt Si H Sr
1 1 1 2
Cartesian
0.0000 0.0000 0.0000 Pt
-4.4845 0.3722 0.2160 Si
-0.8407 -1.4376 -0.5799 H
-1.8487 1.6937 -1.5187 Sr
-1.7950 0.1162 2.3146 Sr
```

Results
Spin magnetization, μB per formula unit: 0.0
Electronic total energy, eV/atom: -3.8531



No. 8
Tb2SiHPt6: relaxed, PBE.

Geometry as POSCAR:
```
Tb2SiHPt6
1.0
-1.1218 -4.9056 2.6025
4.2320 1.7105 5.0478
-2.3472 0.0008 5.1559
Pt Tb Si H
6 2 1 1
Cartesian
0.4969 -0.8099 1.7957 Pt
0.2661 -2.3844 11.0106 Pt
1.4321 -2.3853 8.4540 Pt
-0.6692 -0.8090 4.3522 Pt
-0.0597 -3.2422 3.0858 Pt
0.8227 0.0479 9.7204 Pt
-0.4133 -3.2442 6.0387 Tb
1.1763 0.0499 6.7675 Tb
1.5551 -1.5976 3.8252 Si
0.0000 0.0000 0.0000 H
```

Results
Spin magnetization, μB per formula unit: 0.0
Electronic total energy, eV/atom: -6.3517



No. 9
ThSi2H2Pt6: relaxed, PBE.

Geometry as POSCAR:
```
ThSi2H2Pt6
1.0
-4.7369 -1.7202 3.7695
-5.2002 -3.3039 -2.2003
4.7449 -2.0124 4.3636
H Pt Si Th
2 6 2 1
Cartesian
-4.8506 -3.6684 3.7107 H
-0.3416 -3.3681 2.2221 H
-3.3656 -5.7459 5.8379 Pt
-3.2254 -3.2473 4.2227 Pt
0.5339 -3.8540 6.1620 Pt
-1.8266 -1.2906 0.0949 Pt
-1.9668 -3.7892 1.7101 Pt
-5.7261 -3.1825 -0.2292 Pt
-1.8224 -3.9361 6.0415 Si
-3.3698 -3.1004 -0.1088 Si
0.0040 -1.8663 4.0665 Th
```

Results
Spin magnetization, μB per formula unit: 0.0
Electronic total energy, eV/atom: -6.1884



No. 10
SmH4Pt: relaxed, PBE.

Geometry as POSCAR:
```
SmH4Pt
1.0
-2.4449 0.1355 -3.0925
0.1109 -4.1707 4.7623
-4.1803 3.8554 3.4738
Pt Sm H
2 2 8
Cartesian
-5.5061 2.0653 0.6692 Pt
-1.0082 -2.2452 4.4744 Pt
-1.1104 -0.2408 2.1268 Sm
-5.4039 0.0609 3.0168 Sm
-2.1467 -1.7077 0.3658 H
-4.3676 1.5278 4.7778 H
-4.6169 -0.7592 4.8741 H
-2.2576 -2.2235 2.9469 H
-3.5476 -0.4157 1.5300 H
-4.2567 2.0436 2.1967 H
-2.9667 0.2357 3.6136 H
-1.8974 0.5792 0.2696 H
```

Results
Spin magnetization, μB per formula unit: 0.0
Electronic total energy, eV/atom: -4.4514



No. 11
Sm3HPt8: relaxed, PBE.

Geometry as POSCAR:
```
Sm3HPt8
1.0
-1.7594 -4.8648 1.7716
-0.7770 -4.0851 -3.5507
7.5647 -5.5991 0.5761
H Pt Sm
1 8 3
Cartesian
2.7387 -4.0981 -0.0948 H
5.2888 -7.5897 1.2884 Pt
-0.1683 -3.1939 -0.4989 Pt
1.4445 -4.8065 1.0035 Pt
4.8949 -9.6607 -0.5116 Pt
2.3471 -2.3109 0.0947 Pt
2.3744 -10.4773 -1.0965 Pt
5.7868 -7.1945 -1.4097 Pt
1.9485 -4.4066 -1.7268 Pt
-0.4175 -6.3627 -1.0091 Sm
7.3556 -5.5341 0.5471 Sm
2.9064 -7.3965 -0.5470 Sm
```

Results
Spin magnetization, μB per formula unit: 0.0
Electronic total energy, eV/atom: -6.3708



No. 12
SmHPt4: relaxed, PBE.

Geometry as POSCAR:
```
SmHPt4
1.0
5.3267 0.0000 0.0000
2.6633 4.6130 0.0000
2.6633 1.5377 4.3492
H Pt Sm
1 4 1
Cartesian
0.0000 0.0000 0.0000 H
5.3267 1.5297 2.7211 Pt
3.9881 3.8482 2.7211 Pt
6.6652 3.8482 2.7211 Pt
5.3267 3.0753 0.5352 Pt
2.6633 1.5377 1.0873 Sm
```

Results
Spin magnetization, μB per formula unit: 0.0
Electronic total energy, eV/atom: -5.7184



- What is the formula in the eighth record?
  Tb2SiHPt6



- Which formula does entry 3 have?
  Si3HPt